(1)
Below is a geometry-optimized YCd2Fe structure, with properties calculated at the PBE level.

Output
For the total moment, the calculation gives 2.33 μB per formula unit. The value obtained for the formation energy from the elements is 273 meV/atom. The calculation puts the mass density at 6.99 g/cm3. Its space group is R3m. The total energy comes out at -3.9160 eV per atom. The density of states at the Fermi level comes out at 4.32 states/eV/f.u.

a b c (Å): 9.737 9.737 9.737
angles (deg): 19.26 19.26 19.26
Site moments in Bohr magnetons follow the coordinates.
Fractional coordinates of all 4 atoms:
Cd 0.997 0.997 0.997  -0.01
Cd 0.242 0.242 0.242  -0.04
Fe 0.502 0.502 0.502  2.62
Y 0.759 0.759 0.759  -0.12



(2)
Below is a geometry-optimized Y2CdFe structure, with properties calculated at the PBE level.

Output
For the total moment, the calculation gives 1.72 μB per formula unit. The value obtained for the formation energy from the elements is 205 meV/atom. The calculation puts the mass density at 6.54 g/cm3. Its space group is F-43m. The total energy comes out at -5.3715 eV per atom. The density of states at the Fermi level comes out at 4.22 states/eV/f.u.

a b c (Å): 4.991 4.991 4.991
angles (deg): 60.00 60.00 60.00
Site moments in Bohr magnetons follow the coordinates.
Fractional coordinates of all 4 atoms:
Cd 0.500 0.500 0.500  -0.01
Fe 0.250 0.250 0.250  2.49
Y 0.000 0.000 0.000  -0.32
Y 0.750 0.750 0.750  -0.24



(3)
Below is a geometry-optimized YCd2Fe structure, with properties calculated at the PBE level.

Output
For the total moment, the calculation gives 0.00 μB per formula unit. The value obtained for the formation energy from the elements is 437 meV/atom. The calculation puts the mass density at 7.07 g/cm3. Its space group is I-42d. The total energy comes out at -3.7522 eV per atom. The density of states at the Fermi level comes out at 6.19 states/eV/f.u.

a b c (Å): 4.048 4.048 10.974
angles (deg): 79.37 79.37 90.00
Fractional coordinates of all 8 atoms:
Y 0.000 0.000 0.000
Y 0.750 0.250 0.500
Fe 0.500 0.500 0.000
Fe 0.250 0.750 0.500
Cd 0.600 0.125 0.250
Cd 0.150 0.625 0.250
Cd 0.375 0.400 0.750
Cd 0.875 0.850 0.750



(4)
Below is a geometry-optimized YCd2Fe structure, with properties calculated at the PBE level.

Output
For the total moment, the calculation gives 2.16 μB per formula unit. The value obtained for the formation energy from the elements is 136 meV/atom. The calculation puts the mass density at 7.19 g/cm3. Its space group is Cm. The total energy comes out at -4.0528 eV per atom. The density of states at the Fermi level comes out at 3.19 states/eV/f.u.

a b c (Å): 5.441 5.441 5.432
angles (deg): 69.29 69.29 34.86
Site moments in Bohr magnetons follow the coordinates.
Fractional coordinates of all 4 atoms:
Cd 0.987 0.987 0.028  -0.02
Cd 0.220 0.220 0.221  -0.01
Fe 0.518 0.518 0.567  2.55
Y 0.775 0.775 0.684  -0.20



What did the second record say?
Below is a geometry-optimized Y2CdFe structure, with properties calculated at the PBE level.

Output
For the total moment, the calculation gives 1.72 μB per formula unit. The value obtained for the formation energy from the elements is 205 meV/atom. The calculation puts the mass density at 6.54 g/cm3. Its space group is F-43m. The total energy comes out at -5.3715 eV per atom. The density of states at the Fermi level comes out at 4.22 states/eV/f.u.

a b c (Å): 4.991 4.991 4.991
angles (deg): 60.00 60.00 60.00
Site moments in Bohr magnetons follow the coordinates.
Fractional coordinates of all 4 atoms:
Cd 0.500 0.500 0.500  -0.01
Fe 0.250 0.250 0.250  2.49
Y 0.000 0.000 0.000  -0.32
Y 0.750 0.750 0.750  -0.24



Question: Number 4 is which compound?
Answer: YCd2Fe